(1)
A plane-wave DFT calculation with PBE was carried out for a relaxed structure of HfPa2Tc.

Calculated values
As for the polymorph energy (0 for the lowest one): 150 meV per atom. Its space-group type is No. 166. The total energy comes out at -9.5889 eV per atom.

Cell lengths 3.583, 3.583, 8.787 Å; angles 78.24, 78.24, 60.00 degrees
Sites, in units of the cell vectors:
Pa 0.264 0.264 0.208
Pa 0.736 0.736 0.792
Hf 0.500 0.500 0.500
Tc 0.000 0.000 0.000

(2)
A plane-wave DFT calculation with PBE was carried out for a relaxed structure of Dy2Ga3Pd.

Calculated values
Its space-group type is No. 8. The total energy comes out at -4.6862 eV per atom.

Cell lengths 4.440, 5.621, 5.739 Å; angles 77.96, 67.24, 66.73 degrees
Sites, in units of the cell vectors:
Dy 0.540 0.215 0.706
Dy 0.456 0.792 0.296
Ga 0.840 0.617 0.703
Ga 0.835 0.219 0.111
Ga 0.163 0.776 0.898
Pd 0.165 0.383 0.286

(3)
A plane-wave DFT calculation with PBE was carried out for a relaxed structure of Pt2RhW.

Calculated values
As for the polymorph energy (0 for the lowest one): 31 meV per atom. Its space-group type is No. 119. The total energy comes out at -8.3684 eV per atom.

Cell lengths 4.818, 4.818, 4.817 Å; angles 131.86, 131.85, 70.48 degrees
Sites, in units of the cell vectors:
Rh 0.500 0.500 0.000
W 0.250 0.750 0.500
Pt 0.000 0.000 0.000
Pt 0.750 0.250 0.500

(4)
A plane-wave DFT calculation with PBE was carried out for a relaxed structure of Li3ZnAu2.

Calculated values
As for the polymorph energy (0 for the lowest one): 0 meV per atom. Its space-group type is No. 10. The total energy comes out at -2.7092 eV per atom.

Cell lengths 4.110, 7.205, 7.430 Å; angles 119.01, 106.47, 90.00 degrees
Sites, in units of the cell vectors:
Li 0.500 0.250 0.000
Li 0.500 0.750 0.000
Li 0.828 0.078 0.656
Li 0.172 0.422 0.344
Li 0.172 0.922 0.344
Li 0.828 0.578 0.656
Zn 0.000 0.500 0.000
Zn 0.000 0.000 0.000
Au 0.341 0.340 0.681
Au 0.659 0.160 0.319
Au 0.341 0.840 0.681
Au 0.659 0.660 0.319

(5)
A plane-wave DFT calculation with PBE was carried out for a relaxed structure of AlCrP.

Calculated values
As for the polymorph energy (0 for the lowest one): 496 meV per atom. Its space-group type is No. 216. The total energy comes out at -6.1588 eV per atom.

Cell lengths 4.093, 4.093, 4.093 Å; angles 60.00, 60.00, 60.00 degrees
Sites, in units of the cell vectors:
Cr 0.750 0.750 0.750
Al 0.500 0.500 0.500
P 0.000 0.000 0.000

(6)
A plane-wave DFT calculation with PBE was carried out for a relaxed structure of Np2ZnGe4Pt3.

Calculated values
Its space-group type is No. 115. The total energy comes out at -6.8320 eV per atom.

Cell lengths 4.233, 4.233, 10.553 Å; angles 90.00, 90.00, 90.00 degrees
Sites, in units of the cell vectors:
Np 0.500 0.000 0.253
Np 0.000 0.500 0.747
Zn 0.500 0.500 0.500
Ge 0.500 0.500 0.000
Ge 0.000 0.000 0.000
Ge 0.500 0.000 0.639
Ge 0.000 0.500 0.361
Pt 0.000 0.000 0.500
Pt 0.500 0.000 0.870
Pt 0.000 0.500 0.130

(7)
A plane-wave DFT calculation with PBE was carried out for a relaxed structure of NaCa7N2.

Calculated values
Its space-group type is No. 65. The total energy comes out at -3.5325 eV per atom. The value obtained for the formation energy without anion corrections is -0.33 eV per atom.

Cell lengths 4.069, 9.826, 9.826 Å; angles 126.04, 90.00, 90.00 degrees
Sites, in units of the cell vectors:
Na 0.000 0.000 0.000
Ca 0.000 0.706 0.294
Ca 0.000 0.294 0.706
Ca 0.500 0.102 0.371
Ca 0.500 0.898 0.629
Ca 0.500 0.371 0.102
Ca 0.500 0.629 0.898
Ca 0.500 0.500 0.500
N 0.500 0.636 0.364
N 0.500 0.364 0.636

(8)
A plane-wave DFT calculation with PBE was carried out for a relaxed structure of DyErRh4.

Calculated values
Its space-group type is No. 216. The total energy comes out at -7.1804 eV per atom.

Cell lengths 5.325, 5.325, 5.325 Å; angles 60.00, 60.00, 60.00 degrees
Sites, in units of the cell vectors:
Dy 0.250 0.250 0.250
Rh 0.625 0.625 0.125
Rh 0.625 0.125 0.625
Rh 0.625 0.625 0.625
Rh 0.125 0.625 0.625
Er 0.000 0.000 0.000

(9)
A plane-wave DFT calculation with PBE was carried out for a relaxed structure of GdMg2Ni.

Calculated values
Its space-group type is No. 123. The total energy comes out at -5.8232 eV per atom.

Cell lengths 3.214, 3.214, 7.972 Å; angles 90.00, 90.00, 90.00 degrees
Sites, in units of the cell vectors:
Ni 0.500 0.500 0.000
Mg 0.000 0.000 0.819
Mg 0.000 0.000 0.181
Gd 0.500 0.500 0.500

(10)
A plane-wave DFT calculation with PBE was carried out for a relaxed structure of Ho7Tl2Pd2.

Calculated values
Its space-group type is No. 65. The total energy comes out at -4.5983 eV per atom.

Cell lengths 6.883, 7.081, 6.883 Å; angles 90.00, 107.29, 90.00 degrees
Sites, in units of the cell vectors:
Ho 0.000 0.253 0.500
Ho 0.500 0.747 0.000
Ho 0.000 0.747 0.500
Ho 0.500 0.253 0.000
Ho 0.000 0.000 0.000
Ho 0.500 0.756 0.500
Ho 0.500 0.244 0.500
Tl 0.819 0.500 0.819
Tl 0.181 0.500 0.181
Pd 0.710 0.000 0.290
Pd 0.290 0.000 0.710

(11)
A plane-wave DFT calculation with PBE was carried out for a relaxed structure of PmIrC.

Calculated values
As for the polymorph energy (0 for the lowest one): 342 meV per atom. Its space-group type is No. 156. The total energy comes out at -7.7095 eV per atom.

Cell lengths 5.024, 3.400, 3.400 Å; angles 120.00, 90.00, 90.00 degrees
Sites, in units of the cell vectors:
C 0.072 0.667 0.333
Ir 0.200 0.000 0.000
Pm 0.728 0.333 0.667

(12)
A plane-wave DFT calculation with PBE was carried out for a relaxed structure of MgAlTl2Se4.

Calculated values
Its space-group type is No. 1. The total energy comes out at -3.6713 eV per atom. The value obtained for the formation energy without anion corrections is -0.67 eV per atom.

Cell lengths 7.139, 7.042, 6.460 Å; angles 116.18, 116.61, 100.85 degrees
Sites, in units of the cell vectors:
Mg 0.979 0.478 0.958
Al 0.743 0.743 0.485
Tl 0.435 0.935 0.871
Tl 0.181 0.181 0.359
Se 0.698 0.646 0.779
Se 0.857 0.447 0.274
Se 0.416 0.826 0.277
Se 0.079 0.132 0.771